Compound: B3C7
Source: Alexandria
Functional: GGA-PBE
Structure: relaxed

Summary:
E in eV/atom: -8.0852
DFT formation energy in meV/atom: 375
V in Å³/cell: 62.7

a b c (Å): 4.475 4.475 6.411
angles (deg): 113.43 113.43 32.45
Fractional positions:
1 B 0.000 0.000 0.000
2 B 0.000 0.000 0.283
3 B 0.365 0.365 0.828
4 C 0.171 0.171 0.800
5 C 0.201 0.201 0.073
6 C 0.385 0.385 0.589
7 C 0.582 0.582 0.661
8 C 0.607 0.607 0.430
9 C 0.793 0.793 0.200
10 C 0.794 0.794 0.455